Entry 1:
## ZrSiRu2 (GGA-PBE)

Data for a relaxed ZrSiRu2 crystal.

a = 2.8914 Å, b = 4.4958 Å, c = 10.2339 Å
α = 90.00°, β = 90.00°, γ = 90.00°
Positions (direct):
Zr (0.0000, 0.0000, 0.0000)
Zr (0.5000, 0.5000, 0.5000)
Si (0.0000, 0.0000, 0.5000)
Si (0.5000, 0.5000, 0.0000)
Ru (0.0000, 0.0000, 0.2850)
Ru (0.0000, 0.0000, 0.7150)
Ru (0.5000, 0.5000, 0.2150)
Ru (0.5000, 0.5000, 0.7850)

Calculated values
The value obtained for the total magnetization is 0.00 Bohr magnetons per cell. The value obtained for the density of states at the Fermi level is 6.70 states/eV/cell. The space-group type is Immm, No. 71. As for the energy relative to the elements, uncorrected: 48.7 meV/atom.

=====

Entry 2:
## PAu2 (GGA-PBE)

Data for a relaxed PAu2 crystal.

a = 11.8534 Å, b = 2.9051 Å, c = 6.7344 Å
α = 90.00°, β = 105.73°, γ = 90.00°
Positions (direct):
P (0.0951, 0.0000, 0.0058)
P (0.4049, 0.5000, 0.9942)
P (0.5951, 0.5000, 0.0058)
P (0.9049, 0.0000, 0.9942)
Au (0.0904, 0.5000, 0.6887)
Au (0.1797, 0.5000, 0.3233)
Au (0.3203, 0.0000, 0.6767)
Au (0.4096, 0.0000, 0.3113)
Au (0.5904, 0.0000, 0.6887)
Au (0.6797, 0.0000, 0.3233)
Au (0.8203, 0.5000, 0.6767)
Au (0.9096, 0.5000, 0.3113)

Calculated values
The value obtained for the total magnetization is 0.00 Bohr magnetons per cell. The value obtained for the density of states at the Fermi level is 6.74 states/eV/cell. The space-group type is C2/m, No. 12. Its energy of formation is 150 meV/atom.

=====

Entry 3:
## MgCrTe2 (GGA-PBE)

Data for a relaxed MgCrTe2 crystal.

a = 3.9573 Å, b = 3.9573 Å, c = 15.7669 Å
α = 90.00°, β = 90.00°, γ = 90.00°
Positions (direct):
Mg (0.0000, 0.0000, 0.0000)
Mg (0.5000, 0.5000, 0.5000)
Cr (0.0000, 0.5000, 0.2500)
Cr (0.5000, 0.0000, 0.7500)
Te (0.0000, 0.0000, 0.5000)
Te (0.0000, 0.5000, 0.7500)
Te (0.5000, 0.0000, 0.2500)
Te (0.5000, 0.5000, 0.0000)

Calculated values
The value obtained for the total magnetization is 7.94 Bohr magnetons per cell. The value obtained for the density of states at the Fermi level is 4.11 states/eV/cell. The space-group type is I-4m2, No. 119. As for the energy relative to the elements, uncorrected: -48.4 meV/atom.

=====

Sequential energy output: -8.08; -3.84; -4.42 eV per atom
Sequential calculated density output: 8.02; 12.64; 4.46 g/cm³